The following is a DFT calculation (PBE) of crystalline TbPmPt4 at its relaxed geometry.

Values from the calculation:
final energy = -40.10 eV per formula unit
formation energy = -1.083 eV/atom

```
data_TbPmPt4
_symmetry_space_group_name_H-M 'F -4 3 m'
_symmetry_Int_Tables_number 216
_symmetry_space_group_name_Hall 'F -4 2 3'
_cell_length_a 7.717
_cell_length_b 7.717
_cell_length_c 7.717
_cell_angle_alpha 90.00
_cell_angle_beta 90.00
_cell_angle_gamma 90.00
loop_
_atom_site_label
_atom_site_type_symbol
_atom_site_fract_x
_atom_site_fract_y
_atom_site_fract_z
_atom_site_occupancy
Tb1 Tb 0.000 0.000 0.000 1
Pm1 Pm 0.250 0.250 0.750 1
Pt1 Pt 0.125 0.125 0.375 1
```